a:
Here is KCr2W at its PBEsol-relaxed geometry from Alexandria via LeMat-Bulk. Energies are from meta-GGA SCAN.

Unit cell a=3.3002 b=3.3002 c=7.6051 alpha=90.00 beta=90.00 gamma=90.00
Closest atoms and distances in Å follow each position.
Space group P4/mmm (No. 123)
Inequivalent atoms, fractional coordinates:
K  0.0000  0.0000  0.0000 [1 per cell]  4 K 3.30, 8 Cr 3.64
Cr  0.5000  0.5000  0.3678 [2 per cell]  1 Cr 2.01
W  0.0000  0.0000  0.5000 [1 per cell]  8 Cr 2.54

Results
Crystal system ... tetragonal

***

b:
Here is KCr2W at its PBEsol-relaxed geometry from Alexandria via LeMat-Bulk. Energies are from meta-GGA SCAN.

Unit cell a=2.8510 b=2.8510 c=8.9191 alpha=90.00 beta=90.00 gamma=90.00
Closest atoms and distances in Å follow each position.
Space group P4mm (No. 99)
Inequivalent atoms, fractional coordinates:
K  0.0000  0.0000  0.0000 [1 per cell]  4 K 2.85
Cr  0.0000  0.0000  0.5378 [1 per cell]  4 Cr 2.36, 4 W 2.62
Cr  0.5000  0.5000  0.6755 [1 per cell]  4 Cr 2.36
W  0.5000  0.5000  0.3493 [1 per cell]  5 Cr 2.62-2.91, 4 W 2.85

Results
Crystal system ... tetragonal

***

Most stable structure - b; separation to the second - 0.065 eV/atom.

***

a:
Here is K2CrW at its PBEsol-relaxed geometry from Alexandria via LeMat-Bulk. Energies are from meta-GGA SCAN.

Unit cell a=2.8278 b=2.8278 c=11.7265 alpha=90.00 beta=90.00 gamma=90.00
Closest atoms and distances in Å follow each position.
Space group P4/mmm (No. 123)
Inequivalent atoms, fractional coordinates:
K  0.0000  0.0000  0.2430 [2 per cell]  4 K 2.83
Cr  0.5000  0.5000  0.5000 [1 per cell]  4 Cr 2.83
W  0.5000  0.5000  0.0000 [1 per cell]  4 W 2.83

Results
Crystal system ... tetragonal

***

b:
Here is K2CrW at its PBEsol-relaxed geometry from Alexandria via LeMat-Bulk. Energies are from meta-GGA SCAN.

Unit cell a=8.1378 b=8.1378 c=8.1378 alpha=90.00 beta=90.00 gamma=90.00
Closest atoms and distances in Å follow each position.
Space group Fm-3m (No. 225)
Inequivalent atoms, fractional coordinates:
K  0.2500  0.2500  0.2500 [8 per cell]  4 Cr 3.52, 4 W 3.52
Cr  0.0000  0.0000  0.0000 [4 per cell]  8 K 3.52
W  0.0000  0.0000  0.5000 [4 per cell]  8 K 3.52

Results
Crystal system ... cubic

***

Most stable structure - a; separation to the second - 0.517 eV/atom.